! Fe2GeAuO (GGA+U, relaxed); values from VASP
&SYSTEM
  ibrav = 0, nat = 5, ntyp = 4
/
ATOMIC_SPECIES
Fe 55.84 Fe.upf
Ge 72.64 Ge.upf
Au 196.97 Au.upf
O 16.00 O.upf
ATOMIC_POSITIONS crystal
Fe 0.0000 0.5000 0.0000
Fe 0.5000 0.0000 0.0000
Ge 0.0000 0.0000 0.5000
Au 0.5000 0.5000 0.5000
O 0.0000 0.0000 0.0000
CELL_PARAMETERS angstrom
4.2085 0.0000 0.0000
0.0000 4.2085 0.0000
0.0000 0.0000 4.8651
! - density of states at the Fermi level (states/eV/atom) = 0.402
! - uncorrected energy (eV per atom) = -4.92